# 1
{"formula": "IrRu2Br", "functional": "GGA-PBE", "state": "relaxed", "cell": [[4.279, -1.423, 0.000], [4.279, 1.423, 0.000], [-4.107, 0.000, 6.607]], "species": ["Ir", "Ru", "Ru", "Br"], "frac_coords": [[0.000, 0.000, 0.000], [0.202, 0.202, 0.841], [0.798, 0.798, 0.159], [0.500, 0.500, 0.500]], "volume_a3_per_cell": 80, "polymorph_energy_mev_per_atom": 98, "e_form_raw_ev_per_fu": 2.58, "total_energy_ev_per_atom": -6.63, "total_magnetization_mub_per_cell": 0.00}

---

# 2
{"formula": "IrRu2Br", "functional": "GGA-PBE", "state": "relaxed", "cell": [[2.812, 0.000, 0.000], [0.000, 3.554, 0.000], [0.000, 0.000, 6.905]], "species": ["Ir", "Ru", "Ru", "Br"], "frac_coords": [[0.000, 0.000, 0.000], [0.000, 0.000, 0.385], [0.500, 0.500, 0.195], [0.500, 0.500, 0.665]], "volume_a3_per_cell": 69, "polymorph_energy_mev_per_atom": 195, "e_form_raw_ev_per_fu": 2.97, "total_energy_ev_per_atom": -6.53, "total_magnetization_mub_per_cell": 0.00}

---

# 3
{"formula": "IrRuBr2", "functional": "GGA-PBE", "state": "relaxed", "cell": [[6.696, -1.558, 0.000], [6.696, 1.558, 0.000], [-0.575, 0.000, 4.643]], "species": ["Ir", "Ru", "Br", "Br"], "frac_coords": [[0.000, 0.000, 0.000], [0.500, 0.500, 0.500], [0.138, 0.138, 0.710], [0.862, 0.862, 0.290]], "volume_a3_per_cell": 97, "polymorph_energy_mev_per_atom": 320, "e_form_raw_ev_per_fu": 2.31, "total_energy_ev_per_atom": -4.79, "total_magnetization_mub_per_cell": 0.00}

---

# 4
{"formula": "Ir2RuBr", "functional": "GGA-PBE", "state": "relaxed", "cell": [[2.811, 0.000, 0.000], [0.000, 3.620, 0.000], [0.000, 0.000, 6.874]], "species": ["Ir", "Ir", "Ru", "Br"], "frac_coords": [[0.000, 0.000, 0.000], [0.500, 0.500, 0.197], [0.500, 0.500, 0.815], [0.500, 0.000, 0.511]], "volume_a3_per_cell": 70, "polymorph_energy_mev_per_atom": 0, "e_form_raw_ev_per_fu": 2.16, "total_energy_ev_per_atom": -6.63, "total_magnetization_mub_per_cell": 0.00}

---

# 5
{"formula": "IrRu2Br", "functional": "GGA-PBE", "state": "relaxed", "cell": [[2.866, 0.000, 0.000], [0.000, 2.866, 0.000], [0.000, 0.000, 7.522]], "species": ["Ir", "Ru", "Ru", "Br"], "frac_coords": [[0.000, 0.000, 0.000], [0.500, 0.500, 0.239], [0.500, 0.500, 0.761], [0.000, 0.000, 0.500]], "volume_a3_per_cell": 62, "polymorph_energy_mev_per_atom": 125, "e_form_raw_ev_per_fu": 2.69, "total_energy_ev_per_atom": -6.60, "total_magnetization_mub_per_cell": 0.00}

---

# 6
{"formula": "IrRuBr2", "functional": "GGA-PBE", "state": "relaxed", "cell": [[-1.522, 1.749, 8.948], [1.522, -1.749, 8.948], [1.522, 1.749, -8.948]], "species": ["Ir", "Ru", "Br", "Br"], "frac_coords": [[0.000, 0.000, 0.000], [0.409, 0.909, 0.500], [0.598, 0.598, 0.000], [0.816, 0.316, 0.500]], "volume_a3_per_cell": 95, "polymorph_energy_mev_per_atom": 449, "e_form_raw_ev_per_fu": 2.83, "total_energy_ev_per_atom": -4.66, "total_magnetization_mub_per_cell": 1.93}

---

# 7
{"formula": "IrRu2Br", "functional": "GGA-PBE", "state": "relaxed", "cell": [[-2.022, 2.022, 3.756], [2.022, -2.022, 3.756], [2.022, 2.022, -3.756]], "species": ["Ir", "Ru", "Ru", "Br"], "frac_coords": [[0.000, 0.000, 0.000], [0.250, 0.750, 0.500], [0.500, 0.500, 0.000], [0.750, 0.250, 0.500]], "volume_a3_per_cell": 61, "polymorph_energy_mev_per_atom": 470, "e_form_raw_ev_per_fu": 4.07, "total_energy_ev_per_atom": -6.25, "total_magnetization_mub_per_cell": 0.00}

---

# 8
{"formula": "IrRuBr2", "functional": "GGA-PBE", "state": "relaxed", "cell": [[1.599, 0.923, 8.566], [-1.599, 0.923, 8.566], [0.000, -1.846, 8.566]], "species": ["Ir", "Ru", "Br", "Br"], "frac_coords": [[0.000, 0.000, 0.000], [0.500, 0.500, 0.500], [0.095, 0.095, 0.095], [0.905, 0.905, 0.905]], "volume_a3_per_cell": 76, "polymorph_energy_mev_per_atom": 672, "e_form_raw_ev_per_fu": 3.72, "total_energy_ev_per_atom": -4.44, "total_magnetization_mub_per_cell": 1.04}